Entry 1:
## GeSeCl3 (GGA-PBEsol)

Data for a relaxed GeSeCl3 crystal.

a b c (Å): 5.0102 5.0102 5.0102
angles (deg): 90.00 90.00 90.00
Atoms (fractional coordinates):
Ge (0.0000, 0.0000, 0.0000)
Se (0.5000, 0.5000, 0.5000)
Cl (0.0000, 0.5000, 0.5000)
Cl (0.5000, 0.0000, 0.5000)
Cl (0.5000, 0.5000, 0.0000)

The calculation puts the calculated density at 3.4 g/cm³. Its calculated total energy is -0.0996 Ha/atom. The calculation puts the density of states at the Fermi level at 3.866 states/eV/f.u. The value obtained for the spin magnetization is 1.0 μB per cell.

***

Entry 2:
## GeSeCl2 (GGA-PBEsol)

Data for a relaxed GeSeCl2 crystal.

a b c (Å): 4.8441 4.8441 4.8441
angles (deg): 60.00 60.00 60.00
Atoms (fractional coordinates):
Ge (0.0000, 0.0000, 0.0000)
Se (0.5000, 0.5000, 0.5000)
Cl (0.2500, 0.2500, 0.2500)
Cl (0.7500, 0.7500, 0.7500)

The calculation puts the calculated density at 4.6 g/cm³. Its calculated total energy is -0.1092 Ha/atom. The calculation puts the density of states at the Fermi level at 3.692 states/eV/f.u. The value obtained for the spin magnetization is 1.5 μB per cell.

***

Entry 3:
## SiGeCl2 (GGA-PBEsol)

Data for a relaxed SiGeCl2 crystal.

a b c (Å): 4.7473 4.7473 4.7473
angles (deg): 60.00 60.00 60.00
Atoms (fractional coordinates):
Si (0.0000, 0.0000, 0.0000)
Ge (0.5000, 0.5000, 0.5000)
Cl (0.2500, 0.2500, 0.2500)
Cl (0.7500, 0.7500, 0.7500)

The calculation puts the calculated density at 3.8 g/cm³. Its calculated total energy is -0.1257 Ha/atom. The calculation puts the density of states at the Fermi level at 2.379 states/eV/f.u. The value obtained for the spin magnetization is 0.0 μB per cell.